Entry 1:
The following is a DFT calculation (PBE) of a geometry-optimized Sm2U3Ru4 structure.

Cell: 9.0011 9.0011 9.0011 Å, 135.20 75.20 123.08°
Closest atoms and distances in Å follow each position.
Atoms (fractional coordinates):
Sm 0.0873 0.1659 0.2532  4 Ru 2.99-3.19
Sm 0.4127 0.6659 0.0785  4 Ru 2.99-3.19
Sm 0.5873 0.3341 0.9215  4 Ru 2.99-3.19
Sm 0.9127 0.8341 0.7468  4 Ru 2.99-3.19
U 0.0152 0.7500 0.2652  4 Ru 2.46-2.68
U 0.2500 0.7500 0.5000  4 Ru 2.64
U 0.4848 0.7500 0.7348  4 Ru 2.46-2.68
U 0.5152 0.2500 0.2652  4 Ru 2.46-2.68
U 0.7500 0.2500 0.5000  4 Ru 2.64
U 0.9848 0.2500 0.7348  4 Ru 2.46-2.68
Ru 0.0367 0.4063 0.1156  3 U 2.46-2.68
Ru 0.2093 0.0937 0.6304  3 U 2.46-2.68
Ru 0.2907 0.9211 0.8844  3 U 2.46-2.68
Ru 0.4633 0.5789 0.3696  3 U 2.46-2.68
Ru 0.5367 0.4211 0.6304  3 U 2.46-2.68
Ru 0.7093 0.0789 0.1156  3 U 2.46-2.68
Ru 0.7907 0.9063 0.3696  3 U 2.46-2.68
Ru 0.9633 0.5937 0.8844  3 U 2.46-2.68

## Properties
Space-group type = Ibam (72)
Spin magnetization = 0.444 μB per atom
ΔE_f = -3 meV/atom
DOS at the Fermi energy = 14.9 states/eV/f.u.

Entry 2:
The following is a DFT calculation (PBE) of a geometry-optimized SmU2Ru3 structure.

Cell: 6.2693 6.2693 6.6953 Å, 90.00 90.00 79.97°
Closest atoms and distances in Å follow each position.
Atoms (fractional coordinates):
Sm 0.1845 0.8155 0.7500  3 Ru 3.11-3.13
Sm 0.8155 0.1845 0.2500  3 Ru 3.11-3.13
U 0.2950 0.2950 0.0000  4 Ru 2.45-2.65
U 0.2950 0.2950 0.5000  4 Ru 2.45-2.65
U 0.7050 0.7050 0.0000  4 Ru 2.45-2.65
U 0.7050 0.7050 0.5000  4 Ru 2.45-2.65
Ru 0.0064 0.3112 0.7500  2 U 2.45, 1 Ru 2.69
Ru 0.3112 0.0064 0.2500  2 U 2.45, 1 Ru 2.69
Ru 0.4270 0.5730 0.2500  4 U 2.65, 2 Ru 2.69
Ru 0.5730 0.4270 0.7500  4 U 2.65, 2 Ru 2.69
Ru 0.6888 0.9936 0.7500  2 U 2.45, 1 Ru 2.69
Ru 0.9936 0.6888 0.2500  2 U 2.45, 1 Ru 2.69

## Properties
Space-group type = Cmcm (63)
Spin magnetization = 0.181 μB per atom
ΔE_f = -218 meV/atom
DOS at the Fermi energy = 7.2 states/eV/f.u.

Entry 3:
The following is a DFT calculation (PBE) of a geometry-optimized Sm2U2Ru3 structure.

Cell: 3.8223 5.7648 7.4413 Å, 102.28 90.11 109.26°
Closest atoms and distances in Å follow each position.
Atoms (fractional coordinates):
Sm 0.1240 0.2491 0.3692  5 Ru 2.98-3.15
Sm 0.8760 0.7509 0.6308  5 Ru 2.98-3.15
U 0.1629 0.3255 0.9195  4 Ru 2.61-2.77, 2 U 2.77
U 0.8371 0.6745 0.0805  4 Ru 2.61-2.77, 2 U 2.77
Ru 0.3901 0.7806 0.3254  2 U 2.61-2.62
Ru 0.5000 0.0000 0.0000  4 U 2.76-2.77, 2 Ru 2.93
Ru 0.6099 0.2194 0.6746  2 U 2.61-2.62

## Properties
Space-group type = P-1 (2)
Spin magnetization = 0.095 μB per atom
ΔE_f = -245 meV/atom
DOS at the Fermi energy = 10.1 states/eV/f.u.

Entry 4:
The following is a DFT calculation (PBE) of a geometry-optimized Sm2URu2 structure.

Cell: 5.8944 5.8944 7.8056 Å, 97.92 97.92 61.77°
Closest atoms and distances in Å follow each position.
Atoms (fractional coordinates):
Sm 0.0288 0.2723 0.1508  6 Ru 3.18-3.29, 2 U 3.46-3.50
Sm 0.2723 0.0288 0.6508  6 Ru 3.18-3.29, 2 U 3.46-3.50
Sm 0.7277 0.9712 0.3492  6 Ru 3.18-3.29, 2 U 3.46-3.50
Sm 0.9712 0.7277 0.8492  6 Ru 3.18-3.29, 2 U 3.46-3.50
U 0.3644 0.6356 0.2500  2 Ru 2.37
U 0.6356 0.3644 0.7500  2 Ru 2.37
Ru 0.2545 0.5012 0.4843  1 U 2.37
Ru 0.4988 0.7455 0.0157  1 U 2.37
Ru 0.5012 0.2545 0.9843  1 U 2.37
Ru 0.7455 0.4988 0.5157  1 U 2.37

## Properties
Space-group type = C2/c (15)
Spin magnetization = 0.006 μB per atom
ΔE_f = -331 meV/atom
DOS at the Fermi energy = 7.4 states/eV/f.u.

Entry 5:
The following is a DFT calculation (PBE) of a geometry-optimized Sm5URu6 structure.

Cell: 8.3221 8.3221 5.0124 Å, 107.46 107.46 117.77°
Closest atoms and distances in Å follow each position.
Atoms (fractional coordinates):
Sm 0.0000 0.0000 0.0000  8 Ru 2.87-3.15
Sm 0.1631 0.8369 0.5000  8 Ru 3.01-3.20
Sm 0.3247 0.6753 0.0000  8 Ru 2.96-3.22
Sm 0.6753 0.3247 0.0000  8 Ru 2.96-3.22
Sm 0.8369 0.1631 0.5000  8 Ru 3.01-3.20
U 0.5000 0.5000 0.5000  4 Ru 2.58
Ru 0.1353 0.4276 0.2816  1 U 2.58, 1 Sm 2.87
Ru 0.2736 0.2736 0.7727  2 U 2.96-2.97, 6 Sm 2.96-3.15, 5 Ru 3.17-3.26
Ru 0.4276 0.1353 0.2816  1 U 2.58, 1 Sm 2.87
Ru 0.5724 0.8647 0.7184  1 U 2.58, 1 Sm 2.87
Ru 0.7264 0.7264 0.2273  2 U 2.96-2.97, 6 Sm 2.96-3.15, 5 Ru 3.17-3.26
Ru 0.8647 0.5724 0.7184  1 U 2.58, 1 Sm 2.87

## Properties
Space-group type = C2/m (12)
Spin magnetization = 0.000 μB per atom
ΔE_f = -268 meV/atom
DOS at the Fermi energy = 6.7 states/eV/f.u.

Entry 6:
The following is a DFT calculation (PBE) of a geometry-optimized SmVRu structure.

Cell: 5.8712 5.8712 5.5229 Å, 90.00 90.00 140.87°
Closest atoms and distances in Å follow each position.
Atoms (fractional coordinates):
Sm 0.2133 0.7867 0.7500  5 Ru 3.01-3.25, 4 V 3.37
Sm 0.7867 0.2133 0.2500  5 Ru 3.01-3.25, 4 V 3.37
V 0.5000 0.5000 0.0000  4 Ru 2.49, 2 V 2.76
V 0.5000 0.5000 0.5000  4 Ru 2.49, 2 V 2.76
Ru 0.0590 0.9410 0.2500  4 V 2.49
Ru 0.9410 0.0590 0.7500  4 V 2.49

## Properties
Space-group type = Cmcm (63)
Spin magnetization = 0.002 μB per atom
ΔE_f = -128 meV/atom
DOS at the Fermi energy = 4.6 states/eV/f.u.

Entry 7:
The following is a DFT calculation (PBE) of a geometry-optimized SmVRu2 structure.

Cell: 3.1176 3.1176 7.0259 Å, 90.00 90.00 90.00°
Closest atoms and distances in Å follow each position.
Atoms (fractional coordinates):
Sm 0.0000 0.0000 0.0000  8 Ru 3.05, 4 Sm 3.12
V 0.0000 0.0000 0.5000  8 Ru 2.61
Ru 0.5000 0.5000 0.3002  4 V 2.61, 1 Ru 2.81
Ru 0.5000 0.5000 0.6998  4 V 2.61, 1 Ru 2.81

## Properties
Space-group type = P4/mmm (123)
Spin magnetization = 0.000 μB per atom
ΔE_f = -140 meV/atom
DOS at the Fermi energy = 3.6 states/eV/f.u.

Entry 8:
The following is a DFT calculation (PBE) of a geometry-optimized Sm5Y3Ru2 structure.

Cell: 10.0216 10.0216 10.0216 Å, 104.06 89.24 140.38°
Closest atoms and distances in Å follow each position.
Atoms (fractional coordinates):
Sm 0.0230 0.2500 0.7730  2 Ru 2.73
Sm 0.0612 0.2166 0.2778  1 Ru 2.56
Sm 0.2500 0.2500 0.0000  8 Sm 3.24-3.40
Sm 0.4388 0.7166 0.1554  1 Ru 2.56
Sm 0.4770 0.2500 0.2270  2 Ru 2.73
Sm 0.5230 0.7500 0.7730  2 Ru 2.73
Sm 0.5612 0.2834 0.8446  1 Ru 2.56
Sm 0.7500 0.7500 0.0000  8 Sm 3.24-3.40
Sm 0.9388 0.7834 0.7222  1 Ru 2.56
Sm 0.9770 0.7500 0.2270  2 Ru 2.73
Y 0.1846 0.7414 0.9260  1 Ru 2.94
Y 0.2500 0.7500 0.5000  4 Ru 3.10, 2 Y 3.40
Y 0.3154 0.2414 0.5567  1 Ru 2.94
Y 0.6846 0.7586 0.4433  1 Ru 2.94
Y 0.7500 0.2500 0.5000  4 Ru 3.10, 2 Y 3.40
Y 0.8154 0.2586 0.0740  1 Ru 2.94
Ru 0.1560 0.3925 0.5485  3 Sm 2.56-2.73
Ru 0.3440 0.8925 0.2364  3 Sm 2.56-2.73
Ru 0.6560 0.1075 0.7636  3 Sm 2.56-2.73
Ru 0.8440 0.6075 0.4515  3 Sm 2.56-2.73

## Properties
Space-group type = Ibam (72)
Spin magnetization = 0.000 μB per atom
ΔE_f = 19 meV/atom
DOS at the Fermi energy = 9.6 states/eV/f.u.

Entry 9:
The following is a DFT calculation (PBE) of a geometry-optimized SmY2Ru structure.

Cell: 7.3342 9.2909 6.4231 Å, 90.00 90.00 90.00°
Closest atoms and distances in Å follow each position.
Atoms (fractional coordinates):
Sm 0.0427 0.2500 0.1332  2 Ru 2.75-2.85
Sm 0.4573 0.7500 0.6332  2 Ru 2.75-2.85
Sm 0.5427 0.2500 0.3668  2 Ru 2.75-2.85
Sm 0.9573 0.7500 0.8668  2 Ru 2.75-2.85
Y 0.1761 0.0655 0.6690  2 Ru 2.86-2.97
Y 0.1761 0.4345 0.6690  2 Ru 2.86-2.97
Y 0.3239 0.5655 0.1690  2 Ru 2.86-2.97
Y 0.3239 0.9345 0.1690  2 Ru 2.86-2.97
Y 0.6761 0.0655 0.8310  2 Ru 2.86-2.97
Y 0.6761 0.4345 0.8310  2 Ru 2.86-2.97
Y 0.8239 0.5655 0.3310  2 Ru 2.86-2.97
Y 0.8239 0.9345 0.3310  2 Ru 2.86-2.97
Ru 0.1146 0.7500 0.4603  2 Sm 2.75-2.85, 4 Y 2.86-2.97
Ru 0.3854 0.2500 0.9603  2 Sm 2.75-2.85, 4 Y 2.86-2.97
Ru 0.6146 0.7500 0.0397  2 Sm 2.75-2.85, 4 Y 2.86-2.97
Ru 0.8854 0.2500 0.5397  2 Sm 2.75-2.85, 4 Y 2.86-2.97

## Properties
Space-group type = Pnma (62)
Spin magnetization = 0.000 μB per atom
ΔE_f = -283 meV/atom
Excess energy over the best structure of this formula in the dataset = 0 meV per atom
DOS at the Fermi energy = 3.5 states/eV/f.u.

Entry 10:
The following is a DFT calculation (PBE) of a geometry-optimized Sm3YRu structure.

Cell: 5.4762 5.4762 5.4762 Å, 90.00 90.00 90.00°
Closest atoms and distances in Å follow each position.
Atoms (fractional coordinates):
Sm 0.0000 0.0000 0.5000  2 Ru 2.74
Sm 0.0000 0.5000 0.0000  2 Ru 2.74
Sm 0.5000 0.0000 0.0000  2 Ru 2.74
Y 0.5000 0.5000 0.5000  12 Sm 3.87
Ru 0.0000 0.0000 0.0000  6 Sm 2.74

## Properties
Space-group type = Pm-3m (221)
Spin magnetization = 0.078 μB per atom
ΔE_f = 13 meV/atom
Excess energy over the best structure of this formula in the dataset = 188 meV per atom
DOS at the Fermi energy = 8.8 states/eV/f.u.